# SrMg2 | the Alexandria database | PBE | relaxed
# - Crystal system: hexagonal
# - Formation energy: -0.100 eV/atom
# - Calculated total energy: -1.724 eV/atom
# - DOS(E_F): 2.85 states/eV/f.u.
data_SrMg2
_cell_length_a 6.4909
_cell_length_b 6.4909
_cell_length_c 10.3255
_cell_angle_alpha 90.00
_cell_angle_beta 90.00
_cell_angle_gamma 120.00
_symmetry_space_group_name_H-M 'P 63/m m c'
_symmetry_Int_Tables_number 194
_symmetry_space_group_name_Hall '-P 6c 2c'
loop_
_atom_site_label
_atom_site_fract_x
_atom_site_fract_y
_atom_site_fract_z
Sr1 0.3333 0.6667 0.0608
Mg1 0.0000 0.0000 0.0000
Mg2 0.1676 0.3351 0.7500